1.
Here is crystalline V3ReW4 at its relaxed geometry from Alexandria. Energies are from GGA-PBE.

Output
Size of the total moment (μB/atom): 0.000
Polymorph energy (0 for the lowest one) (kJ per mole of atoms): 0.00
Energy of formation (kJ/mol of formula units): -117

The structure in CIF format:
```
data_V3ReW4
_chemical_formula_sum 'V6 Re2 W8'
_symmetry_space_group_name_H-M 'C 1 2/m 1'
_symmetry_Int_Tables_number 12
_cell_length_a 13.180
_cell_length_b 4.374
_cell_length_c 4.416
_cell_angle_alpha 90.00
_cell_angle_beta 109.49
_cell_angle_gamma 90.00
loop_
_symmetry_equiv_pos_as_xyz
'x,y,z'
'-x,-y,-z'
'-x,y,-z'
'x,-y,z'
'x+1/2,y+1/2,z'
'-x+1/2,-y+1/2,-z'
'-x+1/2,y+1/2,-z'
'x+1/2,-y+1/2,z'
loop_
_atom_site_label
_atom_site_type_symbol
_atom_site_fract_x
_atom_site_fract_y
_atom_site_fract_z
V1 V 0.000 0.000 0.000
V2 V 0.122 0.000 0.622
Re1 Re 0.000 0.500 0.500
W1 W 0.124 0.500 0.124
W2 W 0.249 0.000 0.249
```

2.
Here is crystalline Cu2PPt at its relaxed geometry from Alexandria. Energies are from GGA-PBE.

Output
Size of the total moment (μB/atom): 0.000
Polymorph energy (0 for the lowest one) (kJ per mole of atoms): 19.65
Energy of formation (kJ/mol of formula units): 43

The structure in CIF format:
```
data_Cu2PPt
_chemical_formula_sum 'Cu4 P2 Pt2'
_symmetry_space_group_name_H-M 'C m m m'
_symmetry_Int_Tables_number 65
_symmetry_space_group_name_Hall '-C 2 2'
_cell_length_a 2.743
_cell_length_b 4.755
_cell_length_c 8.472
_cell_angle_alpha 90.00
_cell_angle_beta 90.00
_cell_angle_gamma 90.00
loop_
_atom_site_label
_atom_site_type_symbol
_atom_site_fract_x
_atom_site_fract_y
_atom_site_fract_z
Cu1 Cu 0.000 0.000 0.236
P1 P 0.000 0.500 0.000
Pt1 Pt 0.000 0.500 0.500
```

3.
Here is crystalline KCdNi3 at its relaxed geometry from Alexandria. Energies are from GGA-PBE.

Output
Size of the total moment (μB/atom): 0.117
Polymorph energy (0 for the lowest one) (kJ per mole of atoms): 0.00
Energy of formation (kJ/mol of formula units): 511

The structure in CIF format:
```
data_KCdNi3
_chemical_formula_sum 'K1 Cd1 Ni3'
_symmetry_space_group_name_H-M 'P m -3 m'
_symmetry_Int_Tables_number 221
_symmetry_space_group_name_Hall '-P 4 2 3'
_cell_length_a 4.882
_cell_length_b 4.882
_cell_length_c 4.882
_cell_angle_alpha 90.00
_cell_angle_beta 90.00
_cell_angle_gamma 90.00
loop_
_atom_site_label
_atom_site_type_symbol
_atom_site_fract_x
_atom_site_fract_y
_atom_site_fract_z
K1 K 0.000 0.000 0.000
Cd1 Cd 0.500 0.500 0.500
Ni1 Ni 0.000 0.500 0.500
```

4.
Here is crystalline BeBiPt3 at its relaxed geometry from Alexandria. Energies are from GGA-PBE.

Output
Size of the total moment (μB/atom): 0.000
Polymorph energy (0 for the lowest one) (kJ per mole of atoms): 28.30
Energy of formation (kJ/mol of formula units): -67

The structure in CIF format:
```
data_BeBiPt3
_chemical_formula_sum 'Be2 Bi2 Pt6'
_symmetry_space_group_name_H-M 'P 1 21/m 1'
_symmetry_Int_Tables_number 11
_cell_length_a 5.483
_cell_length_b 5.681
_cell_length_c 6.896
_cell_angle_alpha 90.00
_cell_angle_beta 99.55
_cell_angle_gamma 90.00
loop_
_symmetry_equiv_pos_as_xyz
'x,y,z'
'-x,-y,-z'
'-x,y+1/2,-z'
'x,-y+1/2,z'
loop_
_atom_site_label
_atom_site_type_symbol
_atom_site_fract_x
_atom_site_fract_y
_atom_site_fract_z
Be1 Be 0.074 0.250 0.172
Bi1 Bi 0.463 0.250 0.689
Pt1 Pt 0.237 0.506 0.965
Pt2 Pt 0.485 0.250 0.295
```

5.
Here is crystalline TaAlBr at its relaxed geometry from Alexandria. Energies are from GGA-PBE.

Output
Formation energy without anion corrections (eV/atom): -0.20
Size of the total moment (μB/atom): 0.000
Polymorph energy (0 for the lowest one) (kJ per mole of atoms): 5.16

The structure in CIF format:
```
data_TaAlBr
_chemical_formula_sum 'Ta2 Al2 Br2'
_symmetry_space_group_name_H-M 'P 1'
_symmetry_Int_Tables_number 1
_cell_length_a 3.072
_cell_length_b 3.575
_cell_length_c 12.623
_cell_angle_alpha 90.18
_cell_angle_beta 96.54
_cell_angle_gamma 90.00
loop_
_symmetry_equiv_pos_as_xyz
'x,y,z'
loop_
_atom_site_label
_atom_site_type_symbol
_atom_site_fract_x
_atom_site_fract_y
_atom_site_fract_z
Ta1 Ta 0.000 0.000 0.000
Ta2 Ta 0.111 0.003 0.238
Al1 Al 0.554 0.501 0.116
Al2 Al 0.671 0.504 0.368
Br1 Br 0.422 0.998 0.834
Br2 Br 0.759 0.506 0.556
```

6.
Here is crystalline TlSbTe3Au at its relaxed geometry from Alexandria. Energies are from GGA-PBE.

Output
Formation energy without anion corrections (eV/atom): -0.13
Size of the total moment (μB/atom): 0.000

The structure in CIF format:
```
data_TlSbTe3Au
_chemical_formula_sum 'Tl2 Sb2 Te6 Au2'
_symmetry_space_group_name_H-M 'P 1 21/m 1'
_symmetry_Int_Tables_number 11
_cell_length_a 8.995
_cell_length_b 4.389
_cell_length_c 10.386
_cell_angle_alpha 90.00
_cell_angle_beta 100.88
_cell_angle_gamma 90.00
loop_
_symmetry_equiv_pos_as_xyz
'x,y,z'
'-x,-y,-z'
'-x,y+1/2,-z'
'x,-y+1/2,z'
loop_
_atom_site_label
_atom_site_type_symbol
_atom_site_fract_x
_atom_site_fract_y
_atom_site_fract_z
Tl1 Tl 0.183 0.250 0.238
Sb1 Sb 0.324 0.750 0.879
Te1 Te 0.100 0.250 0.909
Te2 Te 0.263 0.750 0.570
Te3 Te 0.446 0.750 0.171
Au1 Au 0.091 0.250 0.525
```

7.
Here is crystalline CoMo2Cl at its relaxed geometry from Alexandria. Energies are from GGA-PBE.

Output
Formation energy without anion corrections (eV/atom): 0.32
Size of the total moment (μB/atom): 0.302
Polymorph energy (0 for the lowest one) (kJ per mole of atoms): 3.92

The structure in CIF format:
```
data_CoMo2Cl
_chemical_formula_sum 'Co3 Mo6 Cl3'
_symmetry_space_group_name_H-M 'R 3 m'
_symmetry_Int_Tables_number 160
_symmetry_space_group_name_Hall 'R 3 -2"'
_cell_length_a 2.8676
_cell_length_b 2.8676
_cell_length_c 25.6096
_cell_angle_alpha 90.00
_cell_angle_beta 90.00
_cell_angle_gamma 120.00
loop_
_atom_site_label
_atom_site_type_symbol
_atom_site_fract_x
_atom_site_fract_y
_atom_site_fract_z
Co1 Co 0.0000 0.0000 0.0000
Mo1 Mo 0.0000 0.0000 0.5014
Mo2 Mo 0.0000 0.0000 0.7415
Cl1 Cl 0.0000 0.0000 0.2424
```

8.
Here is crystalline Nd3Eu at its relaxed geometry from Alexandria. Energies are from GGA-PBE.

Output
Size of the total moment (μB/atom): 1.813
Polymorph energy (0 for the lowest one) (kJ per mole of atoms): 0.23
Energy of formation (kJ/mol of formula units): 23

The structure in CIF format:
```
data_Nd3Eu
_chemical_formula_sum 'Nd3 Eu1'
_symmetry_space_group_name_H-M 'P m m 2'
_symmetry_Int_Tables_number 25
_cell_length_a 3.736
_cell_length_b 5.991
_cell_length_c 6.524
_cell_angle_alpha 90.00
_cell_angle_beta 90.00
_cell_angle_gamma 90.00
loop_
_symmetry_equiv_pos_as_xyz
'x,y,z'
'-x,-y,z'
'-x,y,z'
'x,-y,z'
loop_
_atom_site_label
_atom_site_type_symbol
_atom_site_fract_x
_atom_site_fract_y
_atom_site_fract_z
Nd1 Nd 0.000 0.000 0.000
Nd2 Nd 0.000 0.500 0.324
Nd3 Nd 0.500 0.500 0.837
Eu1 Eu 0.500 0.000 0.502
```

9.
Here is crystalline SnOsNF2 at its relaxed geometry from Alexandria. Energies are from GGA-PBE.

Output
Formation energy without anion corrections (eV/atom): 0.35
Size of the total moment (μB/atom): 0.000
Polymorph energy (0 for the lowest one) (kJ per mole of atoms): 66.97

The structure in CIF format:
```
data_SnOsNF2
_chemical_formula_sum 'Sn1 Os1 N1 F2'
_symmetry_space_group_name_H-M 'P 4/m m m'
_symmetry_Int_Tables_number 123
_symmetry_space_group_name_Hall '-P 4 2'
_cell_length_a 3.823
_cell_length_b 3.823
_cell_length_c 5.598
_cell_angle_alpha 90.00
_cell_angle_beta 90.00
_cell_angle_gamma 90.00
loop_
_atom_site_label
_atom_site_type_symbol
_atom_site_fract_x
_atom_site_fract_y
_atom_site_fract_z
Sn1 Sn 0.000 0.000 0.000
Os1 Os 0.000 0.000 0.500
N1 N 0.500 0.500 0.000
F1 F 0.000 0.500 0.500
```